# Sr2Zn5Ge3 | Alexandria | PBE | optimized geometry
data_Sr2Zn5Ge3
_chemical_formula_sum 'Sr2 Zn5 Ge3'
_cell_length_a 4.424
_cell_length_b 4.424
_cell_length_c 10.836
_cell_angle_alpha 90.00
_cell_angle_beta 90.00
_cell_angle_gamma 90.00
_space_group_name_H-M_alt 'P -4 m 2'
_space_group_IT_number 115
_space_group_name_Hall 'P -4 -2'
loop_
_atom_site_label
_atom_site_type_symbol
_atom_site_fract_x
_atom_site_fract_y
_atom_site_fract_z
_atom_site_occupancy
Sr1 Sr 0.000 0.500 0.249 1
Zn1 Zn 0.000 0.000 0.000 1
Zn2 Zn 0.000 0.000 0.500 1
Zn3 Zn 0.000 0.500 0.874 1
Zn4 Zn 0.500 0.500 0.000 1
Ge1 Ge 0.000 0.500 0.637 1
Ge2 Ge 0.500 0.500 0.500 1
# **E above lowest polymorph**: 0.92 eV/f.u.
# **Energy of formation**: -2.720 eV per formula unit
# **Crystal system**: tetragonal
# **Total DFT energy (no corrections)**: -2.631 eV/atom